HfW2O: relaxed, GGA+U.

a b c (Å): 7.4180 7.4180 4.6097
angles (deg): 90.00 90.00 90.00
With the nearest neighbours (Å) after each atom.
Space group I-42d (No. 122)
Asymmetric unit:
Hf 0.0000 0.0000 0.0000 [4 per cell]  2 O 2.30
W 0.1480 0.2500 0.6250 [8 per cell]  2 O 2.23
O 0.0000 0.0000 0.5000 [4 per cell]  4 W 2.23, 2 Hf 2.30

Properties
V: 15.9 A^3/atom
ρ: 14.72 g/cm3
DFT total energy: -114.17 eV for the cell shown